AcPbN after structural relaxation. Source: the Alexandria database, functional GGA-PBE.

Output
The volume comes out at 174 Å³ per cell. The uncorrected formation energy comes out at -0.57 eV per atom. The crystal system is tetragonal. For the density of states at the Fermi level, the calculation gives 0.649 states/eV per atom.

Unit cell a=4.3094 b=4.3094 c=9.3532 alpha=90.00 beta=90.00 gamma=90.00
Last column: nearest neighbours and their distance in Å.
Fractional coordinates of all 6 atoms:
Pb1 0.0000 0.5000 0.9218  4 Pb 3.38
Pb2 0.5000 0.0000 0.0782  4 Pb 3.38
Ac1 0.0000 0.5000 0.3719  4 N 2.47
Ac2 0.5000 0.0000 0.6281  4 N 2.47
N1 0.5000 0.5000 0.5000  4 Ac 2.47
N2 0.0000 0.0000 0.5000  4 Ac 2.47

=====

ThPa2MoN5 after structural relaxation. Source: the Alexandria database, functional GGA-PBE.

Output
The volume comes out at 251 Å³ per cell. The uncorrected formation energy comes out at -1.24 eV per atom. The crystal system is tetragonal. For the density of states at the Fermi level, the calculation gives 0.808 states/eV per atom.

Unit cell a=6.5733 b=6.5733 c=7.4406 alpha=116.21 beta=116.21 gamma=90.00
Last column: nearest neighbours and their distance in Å.
Fractional coordinates of all 18 atoms:
Mo1 0.7500 0.2500 0.5000  4 N 1.98
N1 0.2061 0.0224 0.7285  1 Mo 1.98
N2 0.0224 0.5224 0.7285  1 Mo 1.98
Pa1 0.6718 0.1718 0.0000  4 N 2.23-2.43
N3 0.7061 0.2061 0.7285  1 Mo 1.98
N4 0.0000 0.0000 0.0000  4 Pa 2.43
N5 0.2939 0.7939 0.2715  1 Mo 1.98
Pa2 0.1718 0.3282 0.0000  4 N 2.23-2.43
N6 0.7939 0.9776 0.2715  1 Mo 1.98
N7 0.4776 0.2939 0.2715  1 Mo 1.98
Th1 0.7500 0.7500 0.5000  10 N 2.81-2.91
N8 0.9776 0.4776 0.2715  1 Mo 1.98
Th2 0.2500 0.2500 0.5000  10 N 2.81-2.91
N9 0.5000 0.5000 0.0000  4 Pa 2.43
Pa3 0.8282 0.6718 0.0000  4 N 2.23-2.43
Pa4 0.3282 0.8282 0.0000  4 N 2.23-2.43
N10 0.5224 0.7061 0.7285  1 Mo 1.98
Mo2 0.2500 0.7500 0.5000  4 N 1.98

=====

DyEr4In5 after structural relaxation. Source: the Alexandria database, functional GGA-PBE.

Output
The volume comes out at 261 Å³ per cell. The energy relative to the elements is -446 meV/atom. The crystal system is tetragonal. For the density of states at the Fermi level, the calculation gives 0.572 states/eV per atom.

Unit cell a=3.7121 b=3.7121 c=18.9654 alpha=90.00 beta=90.00 gamma=90.00
Last column: nearest neighbours and their distance in Å.
Fractional coordinates of all 10 atoms:
In1 0.5000 0.5000 0.1017  4 Er 3.23, 4 Dy 3.26
In2 0.5000 0.5000 0.3009  8 Er 3.23
In3 0.5000 0.5000 0.5000  8 Er 3.23
In4 0.5000 0.5000 0.6991  8 Er 3.23
Dy1 0.0000 0.0000 0.0000  8 In 3.26
In5 0.5000 0.5000 0.8983  4 Er 3.23, 4 Dy 3.26
Er1 0.0000 0.0000 0.7987  8 In 3.23
Er2 0.0000 0.0000 0.4005  8 In 3.23
Er3 0.0000 0.0000 0.2013  8 In 3.23
Er4 0.0000 0.0000 0.5995  8 In 3.23

=====

BePtSe after structural relaxation. Source: the Alexandria database, functional GGA-PBE.

Output
The volume comes out at 102 Å³ per cell. The uncorrected formation energy comes out at -0.38 eV per atom. The crystal system is triclinic. For the density of states at the Fermi level, the calculation gives 0.015 states/eV per atom.

Unit cell a=7.5298 b=3.8109 c=3.6103 alpha=93.65 beta=81.50 gamma=90.76
Last column: nearest neighbours and their distance in Å.
Fractional coordinates of all 6 atoms:
Se1 0.0886 0.7497 0.2048  3 Be 2.26-2.30
Be1 0.2333 0.2593 0.3227  4 Se 2.20-2.27
Pt1 0.8750 0.2405 0.5086  2 Be 2.30-2.40, 1 Se 2.57
Be2 0.8050 0.6115 0.0730  4 Pt 2.25-2.40, 1 Se 2.30
Pt2 0.6268 0.7495 0.6558  2 Be 2.25-2.36, 2 Se 2.50
Se2 0.4099 0.2508 0.7567  2 Be 2.20-2.27

=====

Pm2Pd2Pb3 after structural relaxation. Source: the Alexandria database, functional GGA-PBE.

Output
The volume comes out at 185 Å³ per cell. The energy relative to the elements is -528 meV/atom. The crystal system is orthorhombic. For the density of states at the Fermi level, the calculation gives 0.549 states/eV per atom.

Unit cell a=3.7770 b=4.6086 c=10.8974 alpha=102.21 beta=90.00 gamma=90.00
Last column: nearest neighbours and their distance in Å.
Fractional coordinates of all 7 atoms:
Pd1 0.5000 0.7136 0.4272  2 Pd 2.78, 1 Pb 2.85, 6 Pm 3.06-3.10
Pm1 0.0000 0.1735 0.3470  6 Pd 3.06-3.10
Pb1 0.5000 0.5798 0.1596  1 Pd 2.85
Pb2 0.5000 0.4202 0.8404  1 Pd 2.85
Pm2 0.0000 0.8265 0.6530  6 Pd 3.06-3.10
Pd2 0.5000 0.2864 0.5728  2 Pd 2.78, 1 Pb 2.85, 6 Pm 3.06-3.10
Pb3 0.0000 0.0000 0.0000  10 Pb 3.43-3.78, 2 Pm 3.70

=====

Ta3Re2 after structural relaxation. Source: the Alexandria database, functional GGA-PBE.

Output
The volume comes out at 93 Å³ per cell. The energy relative to the elements is 8 meV/atom. The crystal system is trigonal. For the density of states at the Fermi level, the calculation gives 0.532 states/eV per atom.

Unit cell a=4.4228 b=4.4228 c=5.5114 alpha=90.00 beta=90.00 gamma=120.00
Last column: nearest neighbours and their distance in Å.
Fractional coordinates of all 5 atoms:
Re1 0.6667 0.3333 0.1692  8 Ta 2.68-2.83
Ta1 0.0000 0.0000 0.0000  6 Re 2.72
Re2 0.3333 0.6667 0.8308  8 Ta 2.68-2.83
Ta2 0.3333 0.6667 0.3447  5 Re 2.68-2.83
Ta3 0.6667 0.3333 0.6553  5 Re 2.68-2.83

=====

Ba2CuTc after structural relaxation. Source: the Alexandria database, functional GGA-PBE.

Output
The volume comes out at 263 Å³ per cell. The energy relative to the elements is 1215 meV/atom. The crystal system is tetragonal. For the density of states at the Fermi level, the calculation gives 1.243 states/eV per atom.

Unit cell a=5.1437 b=5.1437 c=10.5853 alpha=75.94 beta=75.94 gamma=90.00
Last column: nearest neighbours and their distance in Å.
Fractional coordinates of all 8 atoms:
Tc1 0.7500 0.2500 0.5000  4 Ba 3.08
Tc2 0.0000 0.0000 0.0000  4 Ba 3.08
Ba1 0.3750 0.3746 0.7500  2 Tc 3.08, 2 Cu 3.08
Ba2 0.1246 0.6250 0.2500  2 Tc 3.08, 2 Cu 3.08
Ba3 0.8750 0.8754 0.7500  2 Tc 3.08, 2 Cu 3.08
Cu1 0.2500 0.7500 0.5000  4 Ba 3.08
Ba4 0.6254 0.1250 0.2500  2 Tc 3.08, 2 Cu 3.08
Cu2 0.5000 0.5000 0.0000  4 Ba 3.08

=====

Ba2Os2W after structural relaxation. Source: the Alexandria database, functional GGA-PBE.

Output
The volume comes out at 127 Å³ per cell. The energy relative to the elements is 2174 meV/atom. The crystal system is tetragonal. For the density of states at the Fermi level, the calculation gives 1.409 states/eV per atom.

Unit cell a=4.2188 b=4.2188 c=7.7453 alpha=74.20 beta=74.20 gamma=90.00
Last column: nearest neighbours and their distance in Å.
Fractional coordinates of all 5 atoms:
Ba1 0.2500 0.7500 0.5000  4 Ba 2.98, 4 Os 3.23
Ba2 0.7500 0.2500 0.5000  4 Ba 2.98, 4 Os 3.23
Os1 0.5787 0.5787 0.8427  1 Os 2.25
Os2 0.4213 0.4213 0.1573  1 Os 2.25
W1 0.0000 0.0000 0.0000  8 Os 3.19

=====

Mn2AlTl after structural relaxation. Source: the Alexandria database, functional GGA-PBE.

Output
The volume comes out at 63 Å³ per cell. The energy relative to the elements is 268 meV/atom. The crystal system is tetragonal. For the density of states at the Fermi level, the calculation gives 0.542 states/eV per atom.

Unit cell a=4.8503 b=4.8503 c=4.8503 alpha=131.17 beta=131.14 gamma=71.57
Last column: nearest neighbours and their distance in Å.
Fractional coordinates of all 4 atoms:
Al1 0.2500 0.7500 0.5000  8 Mn 2.81, 4 Tl 2.84
Mn1 0.0001 0.0001 0.0000  4 Al 2.81, 4 Tl 2.81, 4 Mn 2.84
Mn2 0.4999 0.4999 0.0000  4 Al 2.81, 4 Tl 2.81, 4 Mn 2.84
Tl1 0.7500 0.2500 0.5000  8 Mn 2.81, 4 Al 2.84

=====

BeCr2 after structural relaxation. Source: the Alexandria database, functional GGA-PBE.

Output
The volume comes out at 63 Å³ per cell. The energy relative to the elements is 35 meV/atom. The crystal system is orthorhombic. For the density of states at the Fermi level, the calculation gives 0.769 states/eV per atom.

Unit cell a=5.8759 b=5.8759 c=3.8518 alpha=90.00 beta=90.00 gamma=151.87
Last column: nearest neighbours and their distance in Å.
Fractional coordinates of all 6 atoms:
Cr1 0.5677 0.4323 0.7500  6 Be 2.37-2.42, 4 Cr 2.42-2.47
Cr2 0.2388 0.7612 0.7500  4 Be 2.34-2.50, 6 Cr 2.41-2.42
Be1 0.9014 0.0986 0.7500  10 Cr 2.34-2.50
Cr3 0.4323 0.5677 0.2500  6 Be 2.37-2.42, 4 Cr 2.42-2.47
Be2 0.0986 0.9014 0.2500  10 Cr 2.34-2.50
Cr4 0.7612 0.2388 0.2500  4 Be 2.34-2.50, 6 Cr 2.41-2.42

=====

CoReTe2 after structural relaxation. Source: the Alexandria database, functional GGA-PBE.

Output
The volume comes out at 94 Å³ per cell. The uncorrected formation energy comes out at 0.11 eV per atom. The crystal system is trigonal. For the density of states at the Fermi level, the calculation gives 0.119 states/eV per atom.

Unit cell a=3.8888 b=3.8888 c=7.5201 alpha=75.01 beta=75.01 gamma=60.00
Last column: nearest neighbours and their distance in Å.
Fractional coordinates of all 4 atoms:
Te1 0.2063 0.2063 0.3812  3 Co 2.59
Te2 0.0336 0.0336 0.8993  3 Re 2.83
Re1 0.7805 0.7805 0.6586  3 Co 2.35
Co1 0.4797 0.4797 0.5609  3 Re 2.35, 3 Te 2.59

=====

Ce8Tl3Pb2 after structural relaxation. Source: the Alexandria database, functional GGA-PBE.

Output
The volume comes out at 377 Å³ per cell. The energy relative to the elements is -150 meV/atom. The crystal system is monoclinic. For the density of states at the Fermi level, the calculation gives 3.003 states/eV per atom.

Unit cell a=5.7677 b=11.4478 c=8.3393 alpha=133.34 beta=75.72 gamma=90.00
Last column: nearest neighbours and their distance in Å.
Fractional coordinates of all 13 atoms:
Ce1 0.3797 0.9012 0.3219  2 Ce 2.95-3.12
Ce2 0.7324 0.4317 0.8634  1 Ce 2.63
Pb1 0.6716 0.7139 0.4277  1 Tl 3.27, 9 Ce 3.29-3.58
Pb2 0.3284 0.2861 0.5723  1 Tl 3.27, 9 Ce 3.29-3.58
Ce3 0.6203 0.5793 0.6781  2 Ce 2.95-3.12
Ce4 0.0829 0.8788 0.7577  1 Ce 2.77
Ce5 0.2676 0.5683 0.1366  1 Ce 2.63
Ce6 0.6203 0.0988 0.6781  2 Ce 2.95-3.12
Ce7 0.9171 0.1212 0.2423  1 Ce 2.77
Tl1 0.0000 0.2622 0.0000  8 Ce 3.30-3.45
Tl2 0.5000 0.0000 0.0000  8 Ce 3.18-3.49, 2 Pb 3.27
Tl3 0.0000 0.7378 0.0000  8 Ce 3.30-3.45
Ce8 0.3797 0.4207 0.3219  2 Ce 2.95-3.12